(1)
Below is a relaxed CoAgSO crystal, with properties calculated at the PBE with a Hubbard U level.

The value obtained for the distance to the lowest polymorph of the same formula is 68.8 meV per atom. As for the volume: 15.5 Å³/atom. Its electronic total energy is -18.2 eV/f.u.

The structure belongs to space group P4/nmm (No. 129, origin choice 2); the cell edges are 3.6942, 3.6942 and 9.1094 Å and the angles 90.00°, 90.00° and 90.00°. Symmetry generates all atoms from Co at (0.2500, 0.2500, 0.0848), Ag at (0.2500, 0.2500, 0.6533), S at (0.2500, 0.2500, 0.3319) and O at (0.2500, 0.7500, 0.0000).



(2)
Below is a relaxed CoAgSO crystal, with properties calculated at the PBE with a Hubbard U level.

The value obtained for the distance to the lowest polymorph of the same formula is 72.9 meV per atom. As for the volume: 14.9 Å³/atom. Its electronic total energy is -18.2 eV/f.u.

The structure belongs to space group Pbca (No. 61); the cell edges are 5.5178, 6.6758 and 12.9318 Å and the angles 90.00°, 90.00° and 90.00°. Symmetry generates all atoms from Co at (0.9998, 0.2502, 0.0000), Ag at (0.2457, 0.0071, 0.2222), S at (0.2499, 0.0211, 0.4075) and O at (0.2499, 0.2438, 0.5973).



(3)
Below is a relaxed CoAgSO crystal, with properties calculated at the PBE with a Hubbard U level.

The value obtained for the distance to the lowest polymorph of the same formula is 188.1 meV per atom. As for the volume: 14.1 Å³/atom. Its electronic total energy is -17.7 eV/f.u.

The structure belongs to space group Cmcm (No. 63); the cell edges are 2.8561, 14.6323 and 5.3948 Å and the angles 90.00°, 90.00° and 90.00°. Symmetry generates all atoms from Co at (0.0000, 0.0390, 0.2500), Ag at (0.0000, 0.3388, 0.2500), S at (0.0000, 0.3152, 0.7500) and O at (0.0000, 0.5000, 0.0000).



(4)
Below is a relaxed CoAgSO crystal, with properties calculated at the PBE with a Hubbard U level.

The value obtained for the distance to the lowest polymorph of the same formula is 138.7 meV per atom. As for the volume: 15.8 Å³/atom. Its electronic total energy is -17.9 eV/f.u.

The structure belongs to space group Pbca (No. 61); the cell edges are 6.0352, 12.9942 and 6.4610 Å and the angles 90.00°, 90.00° and 90.00°. Symmetry generates all atoms from Co at (0.0522, 0.2195, 0.1438), Ag at (0.2448, 0.0780, 0.5642), S at (0.0049, 0.0444, 0.2458) and O at (0.2314, 0.2415, 0.8907).



(5)
Below is a relaxed CoAgSO crystal, with properties calculated at the PBE with a Hubbard U level.

The value obtained for the distance to the lowest polymorph of the same formula is 93.5 meV per atom. As for the volume: 14.3 Å³/atom. Its electronic total energy is -18.1 eV/f.u.

The structure belongs to space group P6_3mc (No. 186); the cell edges are 3.2196, 3.2196 and 12.7762 Å and the angles 90.00°, 90.00° and 120.00°. Symmetry generates all atoms from Co at (0.3333, 0.6667, 0.0000), Ag at (0.0000, 0.0000, 0.2314), S at (0.3333, 0.6667, 0.3792) and O at (0.0000, 0.0000, 0.0628).



(6)
Below is a relaxed CoAgSO crystal, with properties calculated at the PBE with a Hubbard U level.

The value obtained for the distance to the lowest polymorph of the same formula is 385.1 meV per atom. As for the volume: 13.5 Å³/atom. Its electronic total energy is -17.0 eV/f.u.

The structure belongs to space group P4/nmm (No. 129, origin choice 2); the cell edges are 3.7612, 3.7612 and 7.6322 Å and the angles 90.00°, 90.00° and 90.00°. Symmetry generates all atoms from Co at (0.2500, 0.7500, 0.0000), Ag at (0.2500, 0.2500, 0.3281), S at (0.2500, 0.2500, 0.8591) and O at (0.2500, 0.2500, 0.6469).



(7)
Below is a relaxed CoAgSO crystal, with properties calculated at the PBE with a Hubbard U level.

The value obtained for the distance to the lowest polymorph of the same formula is 240.2 meV per atom. As for the volume: 14.6 Å³/atom. Its electronic total energy is -17.5 eV/f.u.

The structure belongs to space group Pnma (No. 62); the cell edges are 5.5356, 3.0591 and 13.8160 Å and the angles 90.00°, 90.00° and 90.00°. Symmetry generates all atoms from Co at (0.2149, 0.2500, 0.0565), Ag at (0.1298, 0.7500, 0.2919), S at (0.1856, 0.7500, 0.9421) and O at (0.2454, 0.2500, 0.6403).



(8)
Below is a relaxed CoAgSO crystal, with properties calculated at the PBE with a Hubbard U level.

The value obtained for the distance to the lowest polymorph of the same formula is 78.4 meV per atom. As for the volume: 17.0 Å³/atom. Its electronic total energy is -18.2 eV/f.u.

The structure belongs to space group P4/nmm (No. 129, origin choice 2); the cell edges are 3.9740, 3.9740 and 8.6097 Å and the angles 90.00°, 90.00° and 90.00°. Symmetry generates all atoms from Co at (0.2500, 0.2500, 0.0518), Ag at (0.2500, 0.7500, 0.5000), S at (0.2500, 0.2500, 0.3168) and O at (0.2500, 0.7500, 0.0000).